Below is crystalline Tb10PmHo4 at its relaxed geometry, with properties calculated at the PBE level.

Cell lengths 9.683, 9.683, 10.518 Å; angles 90.00, 90.00, 90.00 degrees
Space group I4/m (No. 87)
Asymmetric unit:
1 Tb 0.000 0.500 0.250 (multiplicity 4)
2 Tb 0.114 0.786 0.158 (multiplicity 16)
3 Pm 0.000 0.000 0.500 (multiplicity 2)
4 Ho 0.067 0.664 0.500 (multiplicity 8)

Results
crystal system = tetragonal
VASP energy = -4.2858 eV per atom
energy relative to the elements = 0.3385 eV/atom
M_tot = 0.000 μB/f.u.